VASP calculation (PBE-GGA) on UNb2SiC4 after structural relaxation.

a b c (Å): 5.6880 5.6880 11.0470
angles (deg): 90.00 90.00 147.33
Last column: nearest neighbours and their distance in Å.
Sites, in units of the cell vectors:
1 U 0.1077 0.8923 0.7500  6 C 2.43-2.54
2 U 0.8923 0.1077 0.2500  6 C 2.43-2.54
3 Nb 0.3685 0.6315 0.5400  5 C 2.12-2.36
4 Nb 0.3685 0.6315 0.9600  5 C 2.12-2.36
5 Nb 0.6315 0.3685 0.0400  5 C 2.12-2.36
6 Nb 0.6315 0.3685 0.4600  5 C 2.12-2.36
7 Si 0.1564 0.8436 0.2500  4 C 1.85-1.91
8 Si 0.8436 0.1564 0.7500  4 C 1.85-1.91
9 C 0.0000 0.0000 0.0000  4 Nb 2.19
10 C 0.0000 0.0000 0.5000  4 Nb 2.19
11 C 0.2661 0.7339 0.1226  1 Si 1.85
12 C 0.2661 0.7339 0.3774  1 Si 1.85
13 C 0.4398 0.5602 0.7500  2 Si 1.91
14 C 0.5602 0.4398 0.2500  2 Si 1.91
15 C 0.7339 0.2661 0.6226  1 Si 1.85
16 C 0.7339 0.2661 0.8774  1 Si 1.85

Results
* magnetization: 1.47 μB/f.u.
* crystal system: orthorhombic
* space group: Cmcm, No. 63
* energy: -9.386 eV/atom